Run P
Entry from Alexandria: LaPm4Sm2 after structural relaxation (PBE).

Calculated values
- spin magnetization (Bohr magnetons per cell) = 0.00
- density (g/cm³) = 6.94
- SG = Fmm2, No. 42

a = 6.900 Å, b = 6.899 Å, c = 8.525 Å
α = 51.85°, β = 51.84°, γ = 76.32°
Element x y z (fractional)
La 0.000 0.000 0.000
Pm 0.240 0.639 0.760
Pm 0.362 0.762 0.238
Pm 0.639 0.240 0.361
Pm 0.762 0.362 0.638
Sm 0.251 0.251 0.249
Sm 0.751 0.751 0.749



Run Q
Entry from Alexandria: LaPm4Sm2 after structural relaxation (PBE).

Calculated values
- spin magnetization (Bohr magnetons per cell) = 0.00
- density (g/cm³) = 6.95
- SG = P1, No. 1

a = 7.200 Å, b = 8.807 Å, c = 9.097 Å
α = 114.49°, β = 101.38°, γ = 101.75°
Element x y z (fractional)
La 0.000 0.000 0.000
La 0.307 0.680 0.553
Pm 0.027 0.833 0.280
Pm 0.106 0.558 0.867
Pm 0.387 0.408 0.136
Pm 0.415 0.240 0.416
Pm 0.500 0.002 0.999
Pm 0.607 0.558 0.865
Pm 0.706 0.121 0.706
Pm 0.912 0.241 0.417
Sm 0.208 0.125 0.707
Sm 0.527 0.831 0.276
Sm 0.806 0.678 0.546
Sm 0.884 0.409 0.135



Relative energy table, unit kJ/mol of atoms: run P 12.7; run Q 0.0